Entry 1:
Entry from Alexandria: La8Co3GeCl4 after structural relaxation (GGA-PBE).

a b c (Å): 8.4641 8.4641 8.8228
angles (deg): 118.16 118.16 57.22
Last column: nearest neighbours and their distance in Å.
Positions (direct):
La: 0.2204 0.7603 0.7089  1 Co 2.68, 1 Ge 2.91
La: 0.2397 0.7796 0.2911  1 Co 2.68, 1 Ge 2.91
La: 0.2462 0.2462 0.7055  2 Co 2.74
La: 0.2580 0.2580 0.3056  2 Co 2.70
La: 0.7420 0.7420 0.6944  2 Co 2.70
La: 0.7538 0.7538 0.2945  2 Co 2.74
La: 0.7603 0.2204 0.7089  1 Co 2.68, 1 Ge 2.91
La: 0.7796 0.2397 0.2911  1 Co 2.68, 1 Ge 2.91
Co: 0.0000 0.0000 0.5000  4 La 2.68
Co: 0.0000 0.5000 0.5000  6 La 2.70-3.02
Co: 0.5000 0.0000 0.5000  6 La 2.70-3.02
Ge: 0.5000 0.5000 0.5000  6 La 2.91-3.04
Cl: 0.0000 0.0000 0.0000  6 La 3.11-3.29
Cl: 0.0000 0.5000 0.0000  6 La 3.27-3.32
Cl: 0.5000 0.0000 0.0000  6 La 3.27-3.32
Cl: 0.5000 0.5000 0.0000  6 La 3.23-3.32

Size of the total moment in Bohr magnetons per cell: 0.00
D(E_F) in states/eV per atom: 0.6573
Formation energy without anion corrections in eV per atom: -0.98
Space-group type: C2/m, No. 12

Entry 2:
Entry from Alexandria: La8NiIr2 after structural relaxation (GGA-PBE).

a b c (Å): 7.5546 7.5546 6.6938
angles (deg): 101.36 101.36 107.19
Last column: nearest neighbours and their distance in Å.
Positions (direct):
La: 0.0000 0.0000 0.0000  2 Ir 2.96, 1 Ni 3.20
La: 0.0114 0.2882 0.5874  2 Ir 2.81-3.01
La: 0.1822 0.5465 0.2291  1 Ni 2.73
La: 0.2882 0.0114 0.5874  2 Ir 2.81-3.01
La: 0.4391 0.7187 0.8681  2 Ir 2.84-3.11, 1 Ni 2.94
La: 0.5465 0.1822 0.2291  1 Ni 2.73
La: 0.7187 0.4391 0.8681  2 Ir 2.84-3.11, 1 Ni 2.94
La: 0.7240 0.7240 0.4303  2 Ir 2.93
Ni: 0.3535 0.3535 0.9866  4 La 2.73-2.94
Ir: 0.0472 0.6773 0.7106  6 La 2.81-3.11
Ir: 0.6773 0.0472 0.7106  6 La 2.81-3.11

Size of the total moment in Bohr magnetons per cell: 0.00
Formation enthalpy at 0 K in eV per formula unit: -3.5
D(E_F) in states/eV per atom: 1.0446
Space-group type: Cm, No. 8

Entry 3:
Entry from Alexandria: Na2FeBr4 after structural relaxation (GGA-PBE).

a b c (Å): 8.2045 8.2045 8.2045
angles (deg): 142.40 142.40 54.22
Last column: nearest neighbours and their distance in Å.
Positions (direct):
Na: 0.1296 0.1296 0.0000  1 Br 2.86
Na: 0.8704 0.8704 0.0000  1 Br 2.86
Fe: 0.5000 0.5000 0.0000  6 Br 2.55-2.64
Br: 0.0000 0.5000 0.5000  2 Fe 2.64
Br: 0.3255 0.3255 0.0000  1 Fe 2.55
Br: 0.5000 0.0000 0.5000  2 Fe 2.64
Br: 0.6745 0.6745 0.0000  1 Fe 2.55

Distance to the lowest polymorph of the same formula in meV per atom: 96
Size of the total moment in Bohr magnetons per cell: 4.00
D(E_F) in states/eV per atom: 0.5694
Formation energy without anion corrections in eV per atom: -0.93
Space-group type: I4/mmm, No. 139

Entry 4:
Entry from Alexandria: LiTaTiOs2 after structural relaxation (GGA-PBE).

a b c (Å): 4.5768 4.5768 4.6965
angles (deg): 90.00 90.00 90.00
Last column: nearest neighbours and their distance in Å.
Positions (direct):
Li: 0.0000 0.0000 0.0000  4 Ta 3.24, 8 Os 3.28
Ta: 0.5000 0.5000 0.0000  2 Ti 2.35
Ti: 0.5000 0.5000 0.5000  4 Os 2.29, 2 Ta 2.35
Os: 0.0000 0.5000 0.5000  2 Ti 2.29
Os: 0.5000 0.0000 0.5000  2 Ti 2.29

Size of the total moment in Bohr magnetons per cell: 0.00
Formation enthalpy at 0 K in eV per formula unit: 7.4
D(E_F) in states/eV per atom: 0.7856
Space-group type: P4/mmm, No. 123